# 1
# CaB2O4

A PBEsol-optimized structure of CaB2O4 (meta-GGA SCAN, the Alexandria database).

Cell: 4.2915 6.1700 11.5715 Å, 90.00 90.00 90.00°
Last column: nearest neighbours and their distance in Å.
Fractional coordinates of all 28 atoms:
Ca 0.7759 0.2500 0.5000  6 O 2.32-2.53
Ca 0.7241 0.7500 0.0000  6 O 2.32-2.53
Ca 0.2241 0.7500 0.5000  6 O 2.32-2.53
Ca 0.2759 0.2500 0.0000  6 O 2.32-2.53
B 0.3286 0.1272 0.3079  3 O 1.33-1.41
B 0.3286 0.3728 0.6921  3 O 1.33-1.41
B 0.1714 0.6272 0.1921  3 O 1.33-1.41
B 0.1714 0.8728 0.8079  3 O 1.33-1.41
B 0.8286 0.1272 0.1921  3 O 1.33-1.41
B 0.8286 0.3728 0.8079  3 O 1.33-1.41
B 0.6714 0.6272 0.3079  3 O 1.33-1.41
B 0.6714 0.8728 0.6921  3 O 1.33-1.41
O 0.8478 0.8490 0.7926  2 B 1.39-1.41
O 0.8478 0.6510 0.2074  2 B 1.39-1.41
O 0.6522 0.3490 0.7074  2 B 1.39-1.41
O 0.6522 0.1510 0.2926  2 B 1.39-1.41
O 0.7268 0.0906 0.0854  1 B 1.33
O 0.7268 0.4094 0.9146  1 B 1.33
O 0.7732 0.5906 0.4146  1 B 1.33
O 0.7732 0.9094 0.5854  1 B 1.33
O 0.2732 0.9094 0.9146  1 B 1.33
O 0.2732 0.5906 0.0854  1 B 1.33
O 0.2268 0.4094 0.5854  1 B 1.33
O 0.2268 0.0906 0.4146  1 B 1.33
O 0.1522 0.1510 0.2074  2 B 1.39-1.41
O 0.1522 0.3490 0.7926  2 B 1.39-1.41
O 0.3478 0.6510 0.2926  2 B 1.39-1.41
O 0.3478 0.8490 0.7074  2 B 1.39-1.41

density of states at the Fermi level	0.00	states/eV per cell
polymorph energy (0 for the lowest one)	0.17	eV per formula unit
V	10.9	Å³ per atom
theoretical density	2.72	g cm⁻³
raw total energy	-70.08	eV/f.u.

# 2
# Ca2B2O5

A PBEsol-optimized structure of Ca2B2O5 (meta-GGA SCAN, the Alexandria database).

Cell: 5.1629 7.1538 11.4917 Å, 93.40 90.00 90.00°
Last column: nearest neighbours and their distance in Å.
Fractional coordinates of all 36 atoms:
Ca 0.9379 0.3817 0.1329  6 O 2.29-2.41
Ca 0.4379 0.6183 0.3671  6 O 2.29-2.41
Ca 0.0621 0.6183 0.8671  6 O 2.29-2.41
Ca 0.5621 0.3817 0.6329  6 O 2.29-2.41
Ca 0.8999 0.8752 0.1659  6 O 2.27-2.43
Ca 0.3999 0.1248 0.3341  6 O 2.27-2.43
Ca 0.1001 0.1248 0.8341  6 O 2.27-2.43
Ca 0.6001 0.8752 0.6659  6 O 2.27-2.43
B 0.0610 0.6625 0.5887  3 O 1.37-1.44
B 0.5611 0.3375 0.9113  3 O 1.37-1.44
B 0.9390 0.3375 0.4113  3 O 1.37-1.44
B 0.4390 0.6625 0.0887  3 O 1.37-1.44
B 0.9238 0.8456 0.4042  3 O 1.36-1.41
B 0.4238 0.1544 0.0958  3 O 1.36-1.41
B 0.0762 0.1544 0.5958  3 O 1.36-1.41
B 0.5762 0.8456 0.9042  3 O 1.36-1.41
O 0.5961 0.7716 0.0151  2 B 1.41-1.44
O 0.0961 0.2284 0.4849  2 B 1.41-1.44
O 0.4039 0.2284 0.9849  2 B 1.41-1.44
O 0.9039 0.7716 0.5151  2 B 1.41-1.44
O 0.3214 0.6437 0.5708  1 B 1.37
O 0.8214 0.3563 0.9292  1 B 1.37
O 0.6786 0.3563 0.4292  1 B 1.37
O 0.1786 0.6437 0.0708  1 B 1.37
O 0.9166 0.5908 0.6751  1 B 1.37
O 0.4166 0.4092 0.8249  1 B 1.37
O 0.0834 0.4092 0.3249  1 B 1.37
O 0.5834 0.5908 0.1751  1 B 1.37
O 0.3062 0.1067 0.6440  1 B 1.36
O 0.8062 0.8933 0.8560  1 B 1.36
O 0.6938 0.8933 0.3560  1 B 1.36
O 0.1938 0.1067 0.1440  1 B 1.36
O 0.3514 0.8549 0.8435  1 B 1.36
O 0.8514 0.1451 0.6565  1 B 1.36
O 0.6486 0.1451 0.1565  1 B 1.36
O 0.1486 0.8549 0.3435  1 B 1.36

density of states at the Fermi level	0.00	states/eV per cell
polymorph energy (0 for the lowest one)	0.04	eV per formula unit
V	11.8	Å³ per atom
theoretical density	2.85	g cm⁻³
raw total energy	-93.17	eV/f.u.

# 3
# CaB2O4

A PBEsol-optimized structure of CaB2O4 (meta-GGA SCAN, the Alexandria database).

Cell: 5.0086 8.3445 13.8288 Å, 90.00 90.00 90.00°
Last column: nearest neighbours and their distance in Å.
Fractional coordinates of all 56 atoms:
Ca 0.6211 0.3841 0.3558  7 O 2.29-2.55
Ca 0.6211 0.1159 0.1442  7 O 2.29-2.55
Ca 0.8789 0.8841 0.6442  7 O 2.29-2.55
Ca 0.8789 0.6159 0.8558  7 O 2.29-2.55
Ca 0.3789 0.6159 0.6442  7 O 2.29-2.55
Ca 0.3789 0.8841 0.8558  7 O 2.29-2.55
Ca 0.1211 0.1159 0.3558  7 O 2.29-2.55
Ca 0.1211 0.3841 0.1442  7 O 2.29-2.55
B 0.8712 0.7457 0.4508  4 O 1.47-1.50
B 0.8712 0.7543 0.0492  4 O 1.47-1.50
B 0.6288 0.2457 0.5492  4 O 1.47-1.50
B 0.6288 0.2543 0.9508  4 O 1.47-1.50
B 0.1288 0.2543 0.5492  4 O 1.47-1.50
B 0.1288 0.2457 0.9508  4 O 1.47-1.50
B 0.3712 0.7543 0.4508  4 O 1.47-1.50
B 0.3712 0.7457 0.0492  4 O 1.47-1.50
B 0.6253 0.5356 0.1369  3 O 1.37
B 0.6253 0.9644 0.3631  3 O 1.37
B 0.8747 0.0356 0.8631  3 O 1.37
B 0.8747 0.4644 0.6369  3 O 1.37
B 0.3747 0.4644 0.8631  3 O 1.37
B 0.3747 0.0356 0.6369  3 O 1.37
B 0.1253 0.9644 0.1369  3 O 1.37
B 0.1253 0.5356 0.3631  3 O 1.37
O 0.3599 0.8900 0.1123  2 B 1.37-1.49
O 0.3599 0.6100 0.3877  2 B 1.37-1.49
O 0.1401 0.3900 0.8877  2 B 1.37-1.49
O 0.1401 0.1100 0.6123  2 B 1.37-1.49
O 0.6401 0.1100 0.8877  2 B 1.37-1.49
O 0.6401 0.3900 0.6123  2 B 1.37-1.49
O 0.8599 0.6100 0.1123  2 B 1.37-1.49
O 0.8599 0.8900 0.3877  2 B 1.37-1.49
O 0.6289 0.3935 0.1864  1 B 1.37
O 0.6289 0.1065 0.3136  1 B 1.37
O 0.8711 0.8935 0.8136  1 B 1.37
O 0.8711 0.6065 0.6864  1 B 1.37
O 0.3711 0.6065 0.8136  1 B 1.37
O 0.3711 0.8935 0.6864  1 B 1.37
O 0.1289 0.1065 0.1864  1 B 1.37
O 0.1289 0.3935 0.3136  1 B 1.37
O 0.1214 0.7418 0.9897  2 B 1.50
O 0.1214 0.7582 0.5103  2 B 1.50
O 0.3786 0.2418 0.0103  2 B 1.50
O 0.3786 0.2582 0.4897  2 B 1.50
O 0.8786 0.2582 0.0103  2 B 1.50
O 0.8786 0.2418 0.4897  2 B 1.50
O 0.6214 0.7582 0.9897  2 B 1.50
O 0.6214 0.7418 0.5103  2 B 1.50
O 0.3856 0.6005 0.1090  2 B 1.37-1.47
O 0.3856 0.8995 0.3910  2 B 1.37-1.47
O 0.1144 0.1005 0.8910  2 B 1.37-1.47
O 0.1144 0.3995 0.6090  2 B 1.37-1.47
O 0.6144 0.3995 0.8910  2 B 1.37-1.47
O 0.6144 0.1005 0.6090  2 B 1.37-1.47
O 0.8856 0.8995 0.1090  2 B 1.37-1.47
O 0.8856 0.6005 0.3910  2 B 1.37-1.47

density of states at the Fermi level	0.00	states/eV per cell
polymorph energy (0 for the lowest one)	0.00	eV per formula unit
V	10.3	Å³ per atom
theoretical density	2.89	g cm⁻³
raw total energy	-70.25	eV/f.u.